(1)
Below is a relaxed structure of Hg2HPt, with properties calculated at the GGA-PBE level.

Cell: 5.6356 5.6356 5.8121 Å, 101.51 101.51 119.94°
Last column: nearest neighbours and their distance in Å.
Fractional positions:
Hg (0.0000, 0.0000, 0.0000)  4 Pt 2.82, 2 Hg 3.14
Hg (0.1705, 0.8295, 0.5000)  2 Pt 2.79
Hg (0.5000, 0.5000, 0.5000)  8 Hg 3.14-3.27, 4 H 3.23
Hg (0.8295, 0.1705, 0.5000)  2 Pt 2.79
H (0.3546, 0.6454, 0.0000)  2 Pt 1.74
H (0.6454, 0.3546, 0.0000)  2 Pt 1.74
Pt (0.0000, 0.5000, 0.0000)  2 H 1.74
Pt (0.5000, 0.0000, 0.0000)  2 H 1.74

Values from the calculation:
Space group: C2/m, No. 12
ΔE to the lowest computed polymorph (eV/atom): 0.008
D(E_F) (states/eV per cell): 0.93



(2)
Below is a relaxed structure of Hg3H4Pt2, with properties calculated at the GGA-PBE level.

Cell: 7.9838 7.9838 4.7427 Å, 105.40 105.40 70.59°
Last column: nearest neighbours and their distance in Å.
Fractional positions:
Hg (0.1455, 0.8545, 0.7500)  2 Pt 2.78, 6 H 2.85-3.01
Hg (0.2811, 0.5085, 0.2623)  2 H 2.58-2.76, 1 Hg 2.78, 1 Pt 2.85
Hg (0.4914, 0.7189, 0.2377)  2 H 2.58-2.76, 1 Hg 2.78, 1 Pt 2.85
Hg (0.5085, 0.2811, 0.7623)  2 H 2.58-2.76, 1 Hg 2.78, 1 Pt 2.85
Hg (0.7189, 0.4914, 0.7377)  2 H 2.58-2.76, 1 Hg 2.78, 1 Pt 2.85
Hg (0.8545, 0.1455, 0.2500)  2 Pt 2.78, 6 H 2.85-3.01
H (0.0263, 0.5325, 0.7403)  2 Pt 1.77-1.79
H (0.1201, 0.2248, 0.7987)  2 Pt 1.73-1.77
H (0.2248, 0.1201, 0.2987)  2 Pt 1.73-1.77
H (0.4675, 0.9737, 0.7597)  2 Pt 1.77-1.79
H (0.5325, 0.0263, 0.2403)  2 Pt 1.77-1.79
H (0.7752, 0.8799, 0.7013)  2 Pt 1.73-1.77
H (0.8799, 0.7752, 0.2013)  2 Pt 1.73-1.77
H (0.9737, 0.4675, 0.2597)  2 Pt 1.77-1.79
Pt (0.1202, 0.3241, 0.5064)  4 H 1.73-1.79
Pt (0.3241, 0.1202, 0.0064)  4 H 1.73-1.79
Pt (0.6759, 0.8798, 0.9936)  4 H 1.73-1.79
Pt (0.8798, 0.6759, 0.4936)  4 H 1.73-1.79

Values from the calculation:
Total DFT energy (no corrections) (eV/atom): -2.910
Space group: C2/c, No. 15
D(E_F) (states/eV per cell): 4.08



(3)
Below is a relaxed structure of HgHPt, with properties calculated at the GGA-PBE level.

Cell: 7.6377 7.6377 9.8751 Å, 125.47 125.47 41.03°
Last column: nearest neighbours and their distance in Å.
Fractional positions:
Hg (0.0902, 0.9098, 0.5000)  3 H 2.65-2.92, 3 Pt 2.78-2.82
Hg (0.3273, 0.8768, 0.8701)  4 Pt 2.74-2.87, 2 H 2.77-2.88, 3 Hg 2.99-3.07
Hg (0.6161, 0.9297, 0.4906)  4 Pt 2.77-2.90, 3 H 2.93-3.05, 1 Hg 3.02
Hg (0.8768, 0.3273, 0.3701)  4 Pt 2.74-2.87, 2 H 2.77-2.88, 3 Hg 2.99-3.07
Hg (0.9098, 0.0902, 0.0000)  3 H 2.65-2.92, 3 Pt 2.78-2.82
Hg (0.9297, 0.6161, 0.9906)  4 Pt 2.77-2.90, 3 H 2.93-3.05, 1 Hg 3.02
H (0.1135, 0.5122, 0.7044)  2 Pt 1.72-1.77
H (0.2072, 0.4243, 0.3694)  2 Pt 1.71-1.85
H (0.4243, 0.2072, 0.8694)  2 Pt 1.71-1.85
H (0.4572, 0.6615, 0.1301)  2 Pt 1.74-1.75
H (0.5122, 0.1135, 0.2044)  2 Pt 1.72-1.77
H (0.6615, 0.4572, 0.6301)  2 Pt 1.74-1.75
Pt (0.1903, 0.4950, 0.5619)  2 H 1.71-1.72
Pt (0.2939, 0.7521, 0.2542)  1 H 1.74
Pt (0.3446, 0.5279, 0.9106)  3 H 1.75-1.85
Pt (0.4950, 0.1903, 0.0619)  2 H 1.71-1.72
Pt (0.5279, 0.3446, 0.4106)  3 H 1.75-1.85
Pt (0.7521, 0.2939, 0.7542)  1 H 1.74

Values from the calculation:
Space group: Cc, No. 9
ΔE to the lowest computed polymorph (eV/atom): 0.018
D(E_F) (states/eV per cell): 4.29



(4)
Below is a relaxed structure of Hg2HPt, with properties calculated at the GGA-PBE level.

Cell: 5.6794 5.6794 5.6841 Å, 99.98 99.98 120.84°
Last column: nearest neighbours and their distance in Å.
Fractional positions:
Hg (0.0638, 0.9362, 0.5000)  3 Pt 2.81-3.05, 4 Hg 2.97-3.11, 2 H 2.97-3.12
Hg (0.1006, 0.5490, 0.7730)  3 Pt 2.83-2.94, 2 H 2.84, 2 Hg 2.97-3.02
Hg (0.5490, 0.1006, 0.2730)  3 Pt 2.83-2.94, 2 H 2.84, 2 Hg 2.97-3.02
Hg (0.9362, 0.0638, 0.0000)  3 Pt 2.81-3.05, 4 Hg 2.97-3.11, 2 H 2.97-3.12
H (0.3997, 0.5977, 0.4130)  2 Pt 1.69-1.83
H (0.5977, 0.3997, 0.9130)  2 Pt 1.69-1.83
Pt (0.5055, 0.5638, 0.1555)  2 H 1.69-1.83
Pt (0.5638, 0.5055, 0.6555)  2 H 1.69-1.83

Values from the calculation:
Space group: Cc, No. 9
ΔE to the lowest computed polymorph (eV/atom): 0.000
D(E_F) (states/eV per cell): 1.65



(5)
Below is a relaxed structure of HgH3Pt, with properties calculated at the GGA-PBE level.

Cell: 4.9631 5.5406 6.4966 Å, 87.98 73.23 77.69°
Last column: nearest neighbours and their distance in Å.
Fractional positions:
Hg (0.0931, 0.3378, 0.1404)  2 H 2.66-2.97, 1 Pt 2.68, 1 Hg 2.73
Hg (0.9069, 0.6622, 0.8596)  2 H 2.66-2.97, 1 Pt 2.68, 1 Hg 2.73
H (0.0476, 0.8427, 0.3575)  2 Pt 1.74-1.91
H (0.4688, 0.0917, 0.7950)  1 Pt 1.58
H (0.4907, 0.8090, 0.5754)  1 Pt 1.69
H (0.5093, 0.1910, 0.4246)  1 Pt 1.69
H (0.5312, 0.9083, 0.2050)  1 Pt 1.58
H (0.9524, 0.1573, 0.6425)  2 Pt 1.74-1.91
Pt (0.2768, 0.0133, 0.4110)  3 H 1.58-1.74
Pt (0.7232, 0.9867, 0.5890)  3 H 1.58-1.74

Values from the calculation:
Space group: P-1, No. 2
ΔE to the lowest computed polymorph (eV/atom): 0.000
D(E_F) (states/eV per cell): 0.74



(6)
Below is a relaxed structure of HgH3Pt, with properties calculated at the GGA-PBE level.

Cell: 3.7158 3.7158 3.7158 Å, 90.00 90.00 90.00°
Last column: nearest neighbours and their distance in Å.
Fractional positions:
Hg (0.0000, 0.0000, 0.0000)  12 H 2.63
H (0.0000, 0.5000, 0.5000)  2 Pt 1.86
H (0.5000, 0.0000, 0.5000)  2 Pt 1.86
H (0.5000, 0.5000, 0.0000)  2 Pt 1.86
Pt (0.5000, 0.5000, 0.5000)  6 H 1.86

Values from the calculation:
Space group: Pm-3m, No. 221
ΔE to the lowest computed polymorph (eV/atom): 0.217
D(E_F) (states/eV per cell): 1.60



Please write out number 3 again, unchanged.
Below is a relaxed structure of HgHPt, with properties calculated at the GGA-PBE level.

Cell: 7.6377 7.6377 9.8751 Å, 125.47 125.47 41.03°
Last column: nearest neighbours and their distance in Å.
Fractional positions:
Hg (0.0902, 0.9098, 0.5000)  3 H 2.65-2.92, 3 Pt 2.78-2.82
Hg (0.3273, 0.8768, 0.8701)  4 Pt 2.74-2.87, 2 H 2.77-2.88, 3 Hg 2.99-3.07
Hg (0.6161, 0.9297, 0.4906)  4 Pt 2.77-2.90, 3 H 2.93-3.05, 1 Hg 3.02
Hg (0.8768, 0.3273, 0.3701)  4 Pt 2.74-2.87, 2 H 2.77-2.88, 3 Hg 2.99-3.07
Hg (0.9098, 0.0902, 0.0000)  3 H 2.65-2.92, 3 Pt 2.78-2.82
Hg (0.9297, 0.6161, 0.9906)  4 Pt 2.77-2.90, 3 H 2.93-3.05, 1 Hg 3.02
H (0.1135, 0.5122, 0.7044)  2 Pt 1.72-1.77
H (0.2072, 0.4243, 0.3694)  2 Pt 1.71-1.85
H (0.4243, 0.2072, 0.8694)  2 Pt 1.71-1.85
H (0.4572, 0.6615, 0.1301)  2 Pt 1.74-1.75
H (0.5122, 0.1135, 0.2044)  2 Pt 1.72-1.77
H (0.6615, 0.4572, 0.6301)  2 Pt 1.74-1.75
Pt (0.1903, 0.4950, 0.5619)  2 H 1.71-1.72
Pt (0.2939, 0.7521, 0.2542)  1 H 1.74
Pt (0.3446, 0.5279, 0.9106)  3 H 1.75-1.85
Pt (0.4950, 0.1903, 0.0619)  2 H 1.71-1.72
Pt (0.5279, 0.3446, 0.4106)  3 H 1.75-1.85
Pt (0.7521, 0.2939, 0.7542)  1 H 1.74

Values from the calculation:
Space group: Cc, No. 9
ΔE to the lowest computed polymorph (eV/atom): 0.018
D(E_F) (states/eV per cell): 4.29